Entry 1:
Material: Ac6PmPr2Y3
Method: DFT, PBE
State: relaxed

Cell lengths 6.6612, 6.6612, 12.3518 Å; angles 95.16, 95.16, 120.04 degrees
With the nearest neighbours (Å) after each atom.
Fractional positions:
Ac: 0.9151 0.5822 0.7460  3 Y 3.72, 1 Pm 3.80, 2 Pr 3.80, 6 Ac 3.84-3.85
Ac: 0.7520 0.7520 0.2540  3 Y 3.72-3.73, 1 Pm 3.80, 2 Pr 3.80, 6 Ac 3.84-3.85
Ac: 0.0849 0.4178 0.2540  3 Y 3.72, 1 Pm 3.80, 2 Pr 3.80, 6 Ac 3.84-3.85
Ac: 0.5822 0.9151 0.7460  3 Y 3.72, 1 Pm 3.80, 2 Pr 3.80, 6 Ac 3.84-3.85
Ac: 0.2480 0.2480 0.7460  3 Y 3.72-3.73, 1 Pm 3.80, 2 Pr 3.80, 6 Ac 3.84-3.85
Ac: 0.4178 0.0849 0.2540  3 Y 3.72, 1 Pm 3.80, 2 Pr 3.80, 6 Ac 3.84-3.85
Pm: 0.0000 0.0000 0.0000  6 Ac 3.80, 6 Pr 3.84-3.85
Pr: 0.3333 0.6667 0.0000  6 Ac 3.80, 3 Pr 3.84-3.85, 3 Pm 3.84-3.85
Pr: 0.6667 0.3333 0.0000  6 Ac 3.80, 3 Pr 3.84-3.85, 3 Pm 3.84-3.85
Y: 0.1666 0.8334 0.5000  6 Ac 3.72, 6 Y 3.84-3.85
Y: 0.8334 0.1666 0.5000  6 Ac 3.72, 6 Y 3.84-3.85
Y: 0.5000 0.5000 0.5000  6 Ac 3.72-3.73, 6 Y 3.84-3.85

The value obtained for the size of the total moment is 0.00 μB per cell. The formation energy from the elements comes out at 0.0288 eV/atom. For the volume, the calculation gives 467 Å³ per cell. Its space group is C2/m, No. 12.



Entry 2:
Material: AcPm6Pr3Y2
Method: DFT, PBE
State: relaxed

Cell lengths 6.3728, 6.3728, 12.2457 Å; angles 94.99, 94.99, 119.98 degrees
With the nearest neighbours (Å) after each atom.
Fractional positions:
Ac: 0.0000 0.0000 0.0000  6 Y 3.68, 6 Pm 3.70
Pm: 0.9157 0.5800 0.7495  6 Pm 3.67-3.71, 3 Pr 3.67-3.69, 2 Y 3.69, 1 Ac 3.70
Pm: 0.7485 0.7485 0.2508  6 Pm 3.67-3.71, 3 Pr 3.67-3.69, 2 Y 3.69, 1 Ac 3.70
Pm: 0.0843 0.4200 0.2505  6 Pm 3.67-3.71, 3 Pr 3.67-3.69, 2 Y 3.69, 1 Ac 3.70
Pm: 0.5800 0.9157 0.7495  6 Pm 3.67-3.71, 3 Pr 3.67-3.69, 2 Y 3.69, 1 Ac 3.70
Pm: 0.2515 0.2515 0.7492  6 Pm 3.67-3.71, 3 Pr 3.67-3.69, 2 Y 3.69, 1 Ac 3.70
Pm: 0.4200 0.0843 0.2505  6 Pm 3.67-3.71, 3 Pr 3.67-3.69, 2 Y 3.69, 1 Ac 3.70
Pr: 0.1671 0.8329 0.5000  6 Pm 3.67-3.69, 6 Pr 3.67-3.69
Pr: 0.8329 0.1671 0.5000  6 Pm 3.67-3.69, 6 Pr 3.67-3.69
Pr: 0.5000 0.5000 0.5000  6 Pr 3.67-3.68, 6 Pm 3.67-3.69
Y: 0.3334 0.6666 0.0000  3 Y 3.68, 3 Ac 3.68, 6 Pm 3.69
Y: 0.6666 0.3334 0.0000  3 Y 3.68, 3 Ac 3.68, 6 Pm 3.69

The value obtained for the size of the total moment is 0.00 μB per cell. The formation energy from the elements comes out at 0.0218 eV/atom. For the volume, the calculation gives 424 Å³ per cell. Its space group is C2/m, No. 12.



Entry 3:
Material: AcPm2Pr3Y6
Method: DFT, PBE
State: relaxed

Cell lengths 6.3483, 6.3483, 11.9751 Å; angles 95.06, 95.06, 119.99 degrees
With the nearest neighbours (Å) after each atom.
Fractional positions:
Ac: 0.0000 0.0000 0.0000  6 Y 3.65, 6 Pm 3.66-3.67
Pm: 0.3333 0.6667 0.0000  6 Y 3.63-3.64, 3 Ac 3.66-3.67, 3 Pm 3.66-3.67
Pm: 0.6667 0.3333 0.0000  6 Y 3.63-3.64, 3 Ac 3.66-3.67, 3 Pm 3.66-3.67
Pr: 0.1670 0.8330 0.5000  6 Y 3.60-3.62, 6 Pr 3.66-3.67
Pr: 0.8330 0.1670 0.5000  6 Y 3.60-3.62, 6 Pr 3.66-3.67
Pr: 0.5000 0.5000 0.5000  6 Y 3.61-3.62, 6 Pr 3.66-3.67
Y: 0.9159 0.5802 0.7487  3 Pr 3.60-3.62, 2 Pm 3.63-3.64, 1 Ac 3.65, 6 Y 3.65-3.69
Y: 0.7482 0.7482 0.2514  3 Pr 3.61-3.62, 2 Pm 3.64, 1 Ac 3.65, 6 Y 3.65-3.69
Y: 0.0841 0.4198 0.2513  3 Pr 3.60-3.62, 2 Pm 3.63-3.64, 1 Ac 3.65, 6 Y 3.65-3.69
Y: 0.5802 0.9159 0.7487  3 Pr 3.60-3.62, 2 Pm 3.63-3.64, 1 Ac 3.65, 6 Y 3.65-3.69
Y: 0.2518 0.2518 0.7486  3 Pr 3.61-3.62, 2 Pm 3.64, 1 Ac 3.65, 6 Y 3.65-3.69
Y: 0.4198 0.0841 0.2513  3 Pr 3.60-3.62, 2 Pm 3.63-3.64, 1 Ac 3.65, 6 Y 3.65-3.69

The value obtained for the size of the total moment is 0.00 μB per cell. The formation energy from the elements comes out at 0.0147 eV/atom. For the volume, the calculation gives 411 Å³ per cell. Its space group is C2/m, No. 12.



Entry 4:
Material: Ac2PmPr2Y6
Method: DFT, PBE
State: relaxed

Cell lengths 6.3139, 6.3139, 12.0630 Å; angles 95.03, 95.03, 120.17 degrees
With the nearest neighbours (Å) after each atom.
Fractional positions:
Ac: 0.8335 0.1665 0.0000  3 Ac 3.64, 6 Y 3.70
Ac: 0.1665 0.8335 0.0000  3 Ac 3.64, 6 Y 3.70
Pm: 0.0000 0.0000 0.5000  6 Y 3.57-3.58, 6 Pr 3.63-3.67
Pr: 0.3356 0.6644 0.5000  6 Y 3.56-3.59, 3 Pr 3.60-3.66, 3 Pm 3.63-3.67
Pr: 0.6644 0.3356 0.5000  6 Y 3.56-3.59, 3 Pr 3.60-3.66, 3 Pm 3.63-3.67
Y: 0.7469 0.7469 0.7434  2 Pr 3.56, 1 Pm 3.58, 6 Y 3.63-3.66, 2 Ac 3.70
Y: 0.0823 0.4140 0.7437  1 Pm 3.57, 2 Pr 3.58-3.59, 6 Y 3.63-3.66, 2 Ac 3.70
Y: 0.2531 0.2531 0.2566  2 Pr 3.56, 1 Pm 3.58, 6 Y 3.63-3.66, 2 Ac 3.70
Y: 0.4140 0.0823 0.7437  1 Pm 3.57, 2 Pr 3.58-3.59, 6 Y 3.63-3.66, 2 Ac 3.70
Y: 0.9177 0.5860 0.2563  1 Pm 3.57, 2 Pr 3.58-3.59, 6 Y 3.63-3.66, 2 Ac 3.70
Y: 0.5860 0.9177 0.2563  1 Pm 3.57, 2 Pr 3.58-3.59, 6 Y 3.63-3.66, 2 Ac 3.70

The value obtained for the size of the total moment is 0.00 μB per cell. The formation energy from the elements comes out at 0.1793 eV/atom. For the volume, the calculation gives 409 Å³ per cell. Its space group is C2/m, No. 12.



Entry 5:
Material: Ac2Pm3PrY6
Method: DFT, PBE
State: relaxed

Cell lengths 6.3950, 6.3950, 11.9886 Å; angles 95.09, 95.09, 120.00 degrees
With the nearest neighbours (Å) after each atom.
Fractional positions:
Ac: 0.3333 0.6667 0.0000  3 Ac 3.69, 3 Pr 3.69, 6 Y 3.69
Ac: 0.6667 0.3333 0.0000  3 Ac 3.69, 3 Pr 3.69, 6 Y 3.69
Pm: 0.1666 0.8334 0.5000  6 Y 3.58-3.60, 6 Pm 3.69
Pm: 0.8334 0.1666 0.5000  6 Y 3.58-3.60, 6 Pm 3.69
Pm: 0.5000 0.5000 0.5000  6 Y 3.59, 6 Pm 3.69
Pr: 0.0000 0.0000 0.0000  6 Y 3.68, 6 Ac 3.69
Y: 0.9151 0.5837 0.7447  3 Pm 3.58-3.60, 6 Y 3.67-3.70, 1 Pr 3.68, 2 Ac 3.69
Y: 0.7536 0.7536 0.2554  3 Pm 3.58-3.59, 6 Y 3.67-3.70, 1 Pr 3.68, 2 Ac 3.69
Y: 0.0849 0.4163 0.2553  3 Pm 3.58-3.60, 6 Y 3.67-3.70, 1 Pr 3.68, 2 Ac 3.69
Y: 0.5837 0.9151 0.7447  3 Pm 3.58-3.60, 6 Y 3.67-3.70, 1 Pr 3.68, 2 Ac 3.69
Y: 0.2464 0.2464 0.7446  3 Pm 3.58-3.59, 6 Y 3.67-3.70, 1 Pr 3.68, 2 Ac 3.69
Y: 0.4163 0.0849 0.2553  3 Pm 3.58-3.60, 6 Y 3.67-3.70, 1 Pr 3.68, 2 Ac 3.69

The value obtained for the size of the total moment is 0.00 μB per cell. The formation energy from the elements comes out at 0.0264 eV/atom. For the volume, the calculation gives 418 Å³ per cell. Its space group is C2/m, No. 12.



Entry 6:
Material: Ac3Pm2PrY6
Method: DFT, PBE
State: relaxed

Cell lengths 6.4606, 6.4606, 12.0219 Å; angles 95.14, 95.14, 119.99 degrees
With the nearest neighbours (Å) after each atom.
Fractional positions:
Ac: 0.1666 0.8334 0.5000  6 Y 3.72, 6 Ac 3.73
Ac: 0.8334 0.1666 0.5000  6 Y 3.72, 6 Ac 3.73
Ac: 0.5000 0.5000 0.5000  6 Y 3.72, 6 Ac 3.73
Pm: 0.3332 0.6668 0.0000  6 Y 3.60, 3 Pr 3.73, 3 Pm 3.73
Pm: 0.6668 0.3332 0.0000  6 Y 3.60, 3 Pr 3.73, 3 Pm 3.73
Pr: 0.0000 0.0000 0.0000  6 Y 3.60, 6 Pm 3.73
Y: 0.9188 0.5851 0.7561  2 Pm 3.60, 1 Pr 3.60, 3 Ac 3.72, 6 Y 3.73
Y: 0.7474 0.7474 0.2438  2 Pm 3.60, 1 Pr 3.60, 3 Ac 3.72, 6 Y 3.73
Y: 0.0812 0.4149 0.2439  2 Pm 3.60, 1 Pr 3.60, 3 Ac 3.72, 6 Y 3.73
Y: 0.5851 0.9188 0.7561  2 Pm 3.60, 1 Pr 3.60, 3 Ac 3.72, 6 Y 3.73
Y: 0.2526 0.2526 0.7562  2 Pm 3.60, 1 Pr 3.60, 3 Ac 3.72, 6 Y 3.73
Y: 0.4149 0.0812 0.2439  2 Pm 3.60, 1 Pr 3.60, 3 Ac 3.72, 6 Y 3.73

The value obtained for the size of the total moment is 0.00 μB per cell. The formation energy from the elements comes out at 0.0337 eV/atom. For the volume, the calculation gives 428 Å³ per cell. Its space group is C2/m, No. 12.



Entry 7:
Material: Ac2Pm2PrY6
Method: DFT, PBE
State: relaxed

Cell lengths 6.2975, 6.2975, 12.0458 Å; angles 94.98, 94.98, 120.02 degrees
With the nearest neighbours (Å) after each atom.
Fractional positions:
Ac: 0.8332 0.1668 0.0000  3 Ac 3.63-3.64, 6 Y 3.70-3.71
Ac: 0.1668 0.8332 0.0000  3 Ac 3.63-3.64, 6 Y 3.70-3.71
Pm: 0.3355 0.6645 0.5000  6 Y 3.55-3.58, 3 Pm 3.59-3.66, 3 Pr 3.62-3.66
Pm: 0.6645 0.3355 0.5000  6 Y 3.55-3.58, 3 Pm 3.59-3.66, 3 Pr 3.62-3.66
Pr: 0.0000 0.0000 0.5000  6 Y 3.57, 6 Pm 3.62-3.66
Y: 0.7456 0.7456 0.7431  2 Pm 3.55, 1 Pr 3.57, 6 Y 3.62-3.65, 2 Ac 3.71
Y: 0.0820 0.4147 0.7432  2 Pm 3.56-3.58, 1 Pr 3.57, 6 Y 3.62-3.65, 2 Ac 3.70
Y: 0.2544 0.2544 0.2569  2 Pm 3.55, 1 Pr 3.57, 6 Y 3.62-3.65, 2 Ac 3.71
Y: 0.4147 0.0820 0.7432  2 Pm 3.56-3.58, 1 Pr 3.57, 6 Y 3.62-3.65, 2 Ac 3.70
Y: 0.9180 0.5853 0.2568  2 Pm 3.56-3.58, 1 Pr 3.57, 6 Y 3.62-3.65, 2 Ac 3.70
Y: 0.5853 0.9180 0.2568  2 Pm 3.56-3.58, 1 Pr 3.57, 6 Y 3.62-3.65, 2 Ac 3.70

The value obtained for the size of the total moment is 0.00 μB per cell. The formation energy from the elements comes out at 0.1798 eV/atom. For the volume, the calculation gives 407 Å³ per cell. Its space group is C2/m, No. 12.



Entry 8:
Material: AcPm5PrY2
Method: DFT, PBE
State: relaxed

Cell lengths 5.6527, 12.4934, 9.5221 Å; angles 90.00, 90.00, 103.07 degrees
With the nearest neighbours (Å) after each atom.
Fractional positions:
Ac: 0.6023 0.2047 0.9282  5 Pm 3.43-3.79
Ac: 0.3977 0.7953 0.4282  5 Pm 3.43-3.79
Pm: 0.3973 0.7947 0.0304  4 Pm 3.28-3.66, 4 Y 3.54-3.67
Pm: 0.7411 0.4822 0.8624  3 Pr 3.14-3.28, 1 Ac 3.43
Pm: 0.4760 0.9520 0.7503  3 Pm 3.28-3.61, 2 Ac 3.51-3.61, 2 Y 3.56
Pm: 0.3099 0.6198 0.7284  3 Pr 3.43-3.55, 3 Y 3.45-3.46, 4 Pm 3.52-3.70, 1 Ac 3.57
Pm: 0.0071 0.0141 0.5280  2 Y 3.45-3.79, 4 Pm 3.61-3.66
Pm: 0.6027 0.2053 0.5304  4 Pm 3.28-3.66, 4 Y 3.54-3.67
Pm: 0.2589 0.5178 0.3624  3 Pr 3.14-3.28, 1 Ac 3.43
Pm: 0.5240 0.0480 0.2503  3 Pm 3.28-3.61, 2 Ac 3.51-3.61, 2 Y 3.56
Pm: 0.6901 0.3802 0.2284  3 Pr 3.43-3.55, 3 Y 3.45-3.46, 4 Pm 3.52-3.70, 1 Ac 3.57
Pm: 0.9929 0.9859 0.0280  2 Y 3.45-3.79, 4 Pm 3.61-3.66
Pr: 0.7625 0.5250 0.5371  4 Pm 3.14-3.43
Pr: 0.2375 0.4750 0.0371  4 Pm 3.14-3.43
Y: 0.8880 0.7760 0.7850  9 Pm 3.45-3.79
Y: 0.1695 0.3389 0.6741  6 Pm 3.46-3.77, 3 Pr 3.83-3.85
Y: 0.1120 0.2240 0.2850  9 Pm 3.45-3.79
Y: 0.8305 0.6611 0.1741  6 Pm 3.46-3.77, 3 Pr 3.83-3.85

The value obtained for the size of the total moment is 0.00 μB per cell. The formation energy from the elements comes out at 0.1393 eV/atom. For the volume, the calculation gives 655 Å³ per cell. Its space group is Cmc2_1, No. 36.



Entry 9:
Material: AcPm6Pr2Y3
Method: DFT, PBE
State: relaxed

Cell lengths 6.3701, 6.3701, 12.1532 Å; angles 95.01, 95.01, 120.01 degrees
With the nearest neighbours (Å) after each atom.
Fractional positions:
Ac: 0.0000 0.0000 0.0000  6 Pr 3.68, 6 Pm 3.74
Pm: 0.9138 0.5787 0.7438  3 Y 3.60-3.61, 6 Pm 3.67-3.70, 2 Pr 3.72-3.73, 1 Ac 3.74
Pm: 0.7510 0.7510 0.2565  3 Y 3.60-3.61, 6 Pm 3.67-3.70, 2 Pr 3.73, 1 Ac 3.74
Pm: 0.0862 0.4213 0.2562  3 Y 3.60-3.61, 6 Pm 3.67-3.70, 2 Pr 3.72-3.73, 1 Ac 3.74
Pm: 0.5787 0.9138 0.7438  3 Y 3.60-3.61, 6 Pm 3.67-3.70, 2 Pr 3.72-3.73, 1 Ac 3.74
Pm: 0.2490 0.2490 0.7435  3 Y 3.60-3.61, 6 Pm 3.67-3.70, 2 Pr 3.73, 1 Ac 3.74
Pm: 0.4213 0.0862 0.2562  3 Y 3.60-3.61, 6 Pm 3.67-3.70, 2 Pr 3.72-3.73, 1 Ac 3.74
Pr: 0.3334 0.6666 0.0000  3 Pr 3.68, 3 Ac 3.68, 6 Pm 3.72-3.73
Pr: 0.6666 0.3334 0.0000  3 Pr 3.68, 3 Ac 3.68, 6 Pm 3.72-3.73
Y: 0.1670 0.8330 0.5000  6 Pm 3.60-3.61, 6 Y 3.67-3.68
Y: 0.8330 0.1670 0.5000  6 Pm 3.60-3.61, 6 Y 3.67-3.68
Y: 0.5000 0.5000 0.5000  6 Pm 3.60-3.61, 6 Y 3.67-3.68

The value obtained for the size of the total moment is 0.00 μB per cell. The formation energy from the elements comes out at 0.0245 eV/atom. For the volume, the calculation gives 420 Å³ per cell. Its space group is C2/m, No. 12.



Entry 10:
Material: AcPm2Pr2Y2
Method: DFT, PBE
State: relaxed

Cell lengths 5.2445, 6.4124, 8.2446 Å; angles 97.62, 90.00, 114.14 degrees
With the nearest neighbours (Å) after each atom.
Fractional positions:
Ac: 0.0000 0.0000 0.0000  6 Pr 3.72, 2 Y 3.72, 4 Pm 3.74
Pm: 0.5733 0.1465 0.7081  1 Pm 3.61, 5 Y 3.63-3.71, 4 Pr 3.68-3.77, 2 Ac 3.74
Pm: 0.4267 0.8535 0.2919  1 Pm 3.61, 5 Y 3.63-3.71, 4 Pr 3.68-3.77, 2 Ac 3.74
Pr: 0.7147 0.4294 0.1494  3 Y 3.60-3.70, 4 Pm 3.68-3.77, 3 Ac 3.72, 2 Pr 3.77
Pr: 0.2853 0.5706 0.8506  3 Y 3.60-3.70, 4 Pm 3.68-3.77, 3 Ac 3.72, 2 Pr 3.77
Y: 0.1425 0.2849 0.4335  3 Pr 3.60-3.70, 5 Pm 3.63-3.71, 3 Y 3.66-3.69, 1 Ac 3.72
Y: 0.8575 0.7151 0.5665  3 Pr 3.60-3.70, 5 Pm 3.63-3.71, 3 Y 3.66-3.69, 1 Ac 3.72

The value obtained for the size of the total moment is 0.00 μB per cell. The formation energy from the elements comes out at 0.0290 eV/atom. For the volume, the calculation gives 250 Å³ per cell. Its space group is C2/m, No. 12.